(1)
First-principles (PBE) data for a relaxed AlCr2Ru crystal, as listed in the Alexandria database.

formation enthalpy at 0 K	0.036	eV per atom
density of states at the Fermi level	5.05	states/eV/f.u.
space-group type	Cmmm, No. 65
uncorrected energy	-8.03	eV per atom
spin magnetization	0.11	μB/cell

Cell: 4.697 4.697 2.648 Å, 90.00 90.00 117.04°
Element x y z (fractional)
Ru 0.500 0.000 0.500
Al 0.000 0.500 0.500
Cr 0.000 0.000 0.000
Cr 0.500 0.500 0.000

(2)
First-principles (PBE) data for a relaxed YPu2Ga6 crystal, as listed in the Alexandria database.

formation enthalpy at 0 K	-0.455	eV per atom
density of states at the Fermi level	14.17	states/eV/f.u.
space-group type	P6/mmm, No. 191
uncorrected energy	-6.38	eV per atom
spin magnetization	11.49	μB/cell
ΔE to the lowest computed polymorph	0.0	meV per atom

Cell: 3.496 7.811 7.811 Å, 120.00 90.00 90.00°
Site moments in Bohr magnetons follow the coordinates.
Element x y z (fractional)
Y 0.000 0.000 0.000  0.03
Pu 0.000 0.333 0.667  5.33
Pu 0.000 0.667 0.333  5.33
Ga 0.500 0.332 0.332  0.01
Ga 0.500 0.668 0.668  0.01
Ga 0.500 0.000 0.668  0.01
Ga 0.500 0.668 0.000  0.01
Ga 0.500 0.332 0.000  0.01
Ga 0.500 0.000 0.332  0.01

(3)
First-principles (PBE) data for a relaxed ZnSn2BC crystal, as listed in the Alexandria database.

formation enthalpy at 0 K	1.420	eV per atom
density of states at the Fermi level	2.08	states/eV/f.u.
space-group type	P4/mmm, No. 123
uncorrected energy	-3.62	eV per atom
spin magnetization	0.05	μB/cell

Cell: 4.777 3.898 4.777 Å, 90.00 90.00 90.00°
Element x y z (fractional)
C 0.500 0.500 0.500
Zn 0.000 0.500 0.000
B 0.000 0.000 0.000
Sn 0.000 0.000 0.500
Sn 0.500 0.000 0.000

(4)
First-principles (PBE) data for a relaxed Pa2Zn3Ga4Cu crystal, as listed in the Alexandria database.

formation enthalpy at 0 K	-0.217	eV per atom
density of states at the Fermi level	8.49	states/eV/f.u.
space-group type	P-4m2, No. 115
uncorrected energy	-4.12	eV per atom
spin magnetization	0.68	μB/cell

Cell: 4.209 4.209 10.154 Å, 90.00 90.00 90.00°
Site moments in Bohr magnetons follow the coordinates.
Element x y z (fractional)
Pa 0.500 0.000 0.257  0.31
Pa 0.000 0.500 0.743  0.31
Zn 0.000 0.000 0.500  0.00
Zn 0.500 0.000 0.864  0.00
Zn 0.000 0.500 0.136  0.00
Ga 0.500 0.500 0.000  0.00
Ga 0.000 0.000 0.000  0.00
Ga 0.500 0.000 0.630  -0.01
Ga 0.000 0.500 0.370  -0.01
Cu 0.500 0.500 0.500  0.00

(5)
First-principles (PBE) data for a relaxed NaPaRhS4 crystal, as listed in the Alexandria database.

density of states at the Fermi level	4.51	states/eV/f.u.
space-group type	P2_1/m, No. 11
uncorrected energy	-5.97	eV per atom
spin magnetization	0.00	μB/cell
raw formation energy	-1.015	eV/atom

Cell: 6.771 5.615 8.432 Å, 90.00 110.00 90.00°
Element x y z (fractional)
Na 0.704 0.750 0.952
Na 0.296 0.250 0.048
Pa 0.736 0.750 0.448
Pa 0.264 0.250 0.552
Rh 0.217 0.750 0.314
Rh 0.783 0.250 0.686
S 0.050 0.513 0.720
S 0.950 0.013 0.280
S 0.950 0.487 0.280
S 0.050 0.987 0.720
S 0.434 0.750 0.151
S 0.566 0.250 0.849
S 0.435 0.750 0.592
S 0.565 0.250 0.408

(6)
First-principles (PBE) data for a relaxed LiGaC2 crystal, as listed in the Alexandria database.

formation enthalpy at 0 K	1.329	eV per atom
density of states at the Fermi level	0.00	states/eV/f.u.
space-group type	I-42d, No. 122
uncorrected energy	-4.52	eV per atom
spin magnetization	0.00	μB/cell

Cell: 3.779 3.779 6.962 Å, 74.25 74.25 90.00°
Element x y z (fractional)
C 0.716 0.125 0.250
C 0.034 0.625 0.250
C 0.375 0.284 0.750
C 0.875 0.966 0.750
Ga 0.000 0.000 0.000
Ga 0.750 0.250 0.500
Li 0.500 0.500 0.000
Li 0.250 0.750 0.500

(7)
First-principles (PBE) data for a relaxed Cd4Pd crystal, as listed in the Alexandria database.

formation enthalpy at 0 K	0.102	eV per atom
density of states at the Fermi level	1.14	states/eV/f.u.
space-group type	I4/mmm, No. 139
uncorrected energy	-1.67	eV per atom
spin magnetization	0.00	μB/cell

Cell: 3.840 3.840 8.011 Å, 76.13 76.13 90.00°
Element x y z (fractional)
Cd 0.750 0.250 0.500
Cd 0.250 0.750 0.500
Cd 0.410 0.410 0.180
Cd 0.590 0.590 0.820
Pd 0.000 0.000 0.000

(8)
First-principles (PBE) data for a relaxed MgInH2 crystal, as listed in the Alexandria database.

density of states at the Fermi level	0.59	states/eV/f.u.
space-group type	P-1, No. 2
uncorrected energy	-2.75	eV per atom
spin magnetization	0.00	μB/cell
ΔE to the lowest computed polymorph	59.8	meV per atom

Cell: 3.189 3.191 6.491 Å, 89.37 86.28 60.04°
Element x y z (fractional)
Mg 0.500 0.500 0.000
In 0.500 0.000 0.500
H 0.806 0.844 0.135
H 0.194 0.156 0.865

(9)
First-principles (PBE) data for a relaxed CrFeMo2 crystal, as listed in the Alexandria database.

formation enthalpy at 0 K	0.366	eV per atom
density of states at the Fermi level	3.74	states/eV/f.u.
space-group type	R3m, No. 160
uncorrected energy	-9.57	eV per atom
spin magnetization	0.68	μB/cell
ΔE to the lowest computed polymorph	266.0	meV per atom

Cell: 9.080 9.080 9.080 Å, 16.99 16.99 16.99°
Site moments in Bohr magnetons follow the coordinates.
Element x y z (fractional)
Cr 0.492 0.492 0.492  -0.68
Fe 0.756 0.756 0.756  1.47
Mo 0.006 0.006 0.006  -0.07
Mo 0.245 0.245 0.245  0.01

(10)
First-principles (PBE) data for a relaxed RbMgMo3 crystal, as listed in the Alexandria database.

formation enthalpy at 0 K	3.019	eV per atom
density of states at the Fermi level	6.85	states/eV/f.u.
space-group type	Pm-3m, No. 221
uncorrected energy	-3.99	eV per atom
spin magnetization	0.00	μB/cell
ΔE to the lowest computed polymorph	519.9	meV per atom

Cell: 4.727 4.727 4.727 Å, 90.00 90.00 90.00°
Element x y z (fractional)
Mo 0.000 0.500 0.000
Mo 0.000 0.000 0.500
Mo 0.500 0.000 0.000
Mg 0.500 0.500 0.500
Rb 0.000 0.000 0.000

(11)
First-principles (PBE) data for a relaxed ZnAs3O crystal, as listed in the Alexandria database.

density of states at the Fermi level	2.97	states/eV/f.u.
space-group type	Pm-3m, No. 221
uncorrected energy	-2.91	eV per atom
spin magnetization	2.04	μB/cell
raw formation energy	1.122	eV/atom
ΔE to the lowest computed polymorph	780.5	meV per atom

Cell: 4.802 4.802 4.802 Å, 90.00 90.00 90.00°
Site moments in Bohr magnetons follow the coordinates.
Element x y z (fractional)
As 0.000 0.500 0.000  0.11
As 0.000 0.000 0.500  0.14
As 0.500 0.000 0.000  0.13
Zn 0.000 0.000 0.000  0.00
O 0.500 0.500 0.500  1.09

(12)
First-principles (PBE) data for a relaxed Ce2GaIr3 crystal, as listed in the Alexandria database.

formation enthalpy at 0 K	-0.814	eV per atom
density of states at the Fermi level	7.28	states/eV/f.u.
space-group type	R-3m, No. 166
uncorrected energy	-7.73	eV per atom
spin magnetization	0.00	μB/cell

Cell: 5.179 5.179 5.179 Å, 65.77 65.77 65.77°
Element x y z (fractional)
Ce 0.378 0.378 0.378
Ce 0.622 0.622 0.622
Ga 0.000 0.000 0.000
Ir 0.000 0.000 0.500
Ir 0.500 0.000 0.000
Ir 0.000 0.500 0.000

(13)
First-principles (PBE) data for a relaxed La2LuBr crystal, as listed in the Alexandria database.

density of states at the Fermi level	4.54	states/eV/f.u.
space-group type	R-3m, No. 166
uncorrected energy	-4.56	eV per atom
spin magnetization	0.09	μB/cell
raw formation energy	-0.551	eV/atom
ΔE to the lowest computed polymorph	0.0	meV per atom

Cell: 3.733 3.733 10.959 Å, 80.19 80.19 60.00°
Element x y z (fractional)
Lu 0.500 0.500 0.500
Br 0.000 0.000 0.000
La 0.744 0.744 0.769
La 0.256 0.256 0.231

(14)
First-principles (PBE) data for a relaxed La2Si2Te crystal, as listed in the Alexandria database.

density of states at the Fermi level	2.68	states/eV/f.u.
space-group type	I4/mmm, No. 139
uncorrected energy	-5.57	eV per atom
spin magnetization	0.00	μB/cell
raw formation energy	-0.803	eV/atom
ΔE to the lowest computed polymorph	0.0	meV per atom

Cell: 3.927 3.927 9.105 Å, 77.54 77.54 90.00°
Element x y z (fractional)
Si 0.750 0.250 0.500
Si 0.250 0.750 0.500
Te 0.000 0.000 0.000
La 0.388 0.388 0.224
La 0.612 0.612 0.776